Material: CaCd2AgO4
Method: DFT, GGA-PBE
State: relaxed

```
CaCd2AgO4
1.0
3.248 0.000 0.000
-1.624 6.009 0.000
0.000 0.000 11.892
Ca Cd Ag O
2 4 2 8
direct
0.181 0.363 0.750
0.819 0.637 0.250
0.370 0.740 0.523
0.630 0.260 0.023
0.630 0.260 0.477
0.370 0.740 0.977
0.921 0.842 0.750
0.079 0.158 0.250
0.237 0.475 0.122
0.763 0.525 0.622
0.763 0.525 0.878
0.237 0.475 0.378
0.000 0.000 0.500
0.000 0.000 0.000
0.540 0.080 0.750
0.460 0.920 0.250
```

## Properties
Formation energy (no corrections) in eV/atom: -1.094
Space-group type: Cmcm
Volume in A^3/atom: 14.51